# 1
# LiIrW2, optimized geometry, DFT PBE
# offset from the most stable computed form	120	meV per atom
# calculated volume	14.638	Å³ per atom
# crystal system	tetragonal
# formation energy from the elements	0.205	eV per atom
# Fermi-level density of states	0.873	states/eV/atom
data_LiIrW2
_symmetry_space_group_name_H-M 'I 4/m m m'
_symmetry_Int_Tables_number 139
_symmetry_space_group_name_Hall '-I 4 2'
_cell_length_a 3.7411
_cell_length_b 3.7411
_cell_length_c 8.3672
_cell_angle_alpha 90.00
_cell_angle_beta 90.00
_cell_angle_gamma 90.00
loop_
_atom_site_label
_atom_site_type_symbol
_atom_site_fract_x
_atom_site_fract_y
_atom_site_fract_z
Li1 Li 0.0000 0.0000 0.0000
Ir1 Ir 0.0000 0.0000 0.5000
W1 W 0.0000 0.5000 0.2500


# 2
# LiIr2W, optimized geometry, DFT PBE
# calculated volume	14.328	Å³ per atom
# crystal system	monoclinic
# formation energy from the elements	-0.022	eV per atom
# Fermi-level density of states	0.897	states/eV/atom
data_LiIr2W
_symmetry_space_group_name_H-M 'C 1 2/m 1'
_symmetry_Int_Tables_number 12
_cell_length_a 8.5850
_cell_length_b 2.7428
_cell_length_c 4.8985
_cell_angle_alpha 90.00
_cell_angle_beta 96.40
_cell_angle_gamma 90.00
loop_
_symmetry_equiv_pos_as_xyz
'x,y,z'
'-x,-y,-z'
'-x,y,-z'
'x,-y,z'
'x+1/2,y+1/2,z'
'-x+1/2,-y+1/2,-z'
'-x+1/2,y+1/2,-z'
'x+1/2,-y+1/2,z'
loop_
_atom_site_label
_atom_site_type_symbol
_atom_site_fract_x
_atom_site_fract_y
_atom_site_fract_z
Li1 Li 0.0000 0.0000 0.0000
Ir1 Ir 0.2478 0.0000 0.7619
W1 W 0.0000 0.5000 0.5000


# 3
# LiIr2W, optimized geometry, DFT PBE
# calculated volume	13.721	Å³ per atom
# crystal system	tetragonal
# formation energy from the elements	-0.218	eV per atom
# Fermi-level density of states	0.656	states/eV/atom
data_LiIr2W
_symmetry_space_group_name_H-M 'P 4/m m m'
_symmetry_Int_Tables_number 123
_symmetry_space_group_name_Hall '-P 4 2'
_cell_length_a 2.9386
_cell_length_b 2.9386
_cell_length_c 6.3553
_cell_angle_alpha 90.00
_cell_angle_beta 90.00
_cell_angle_gamma 90.00
loop_
_atom_site_label
_atom_site_type_symbol
_atom_site_fract_x
_atom_site_fract_y
_atom_site_fract_z
Li1 Li 0.0000 0.0000 0.0000
Ir1 Ir 0.5000 0.5000 0.2296
W1 W 0.0000 0.0000 0.5000


# 4
# LiIrW2, optimized geometry, DFT PBE
# offset from the most stable computed form	81	meV per atom
# calculated volume	14.841	Å³ per atom
# crystal system	monoclinic
# formation energy from the elements	0.167	eV per atom
# Fermi-level density of states	0.675	states/eV/atom
data_LiIrW2
_symmetry_space_group_name_H-M 'C 1 2/m 1'
_symmetry_Int_Tables_number 12
_cell_length_a 5.2288
_cell_length_b 8.6589
_cell_length_c 2.7103
_cell_angle_alpha 90.00
_cell_angle_beta 104.64
_cell_angle_gamma 90.00
loop_
_symmetry_equiv_pos_as_xyz
'x,y,z'
'-x,-y,-z'
'-x,y,-z'
'x,-y,z'
'x+1/2,y+1/2,z'
'-x+1/2,-y+1/2,-z'
'-x+1/2,y+1/2,-z'
'x+1/2,-y+1/2,z'
loop_
_atom_site_label
_atom_site_type_symbol
_atom_site_fract_x
_atom_site_fract_y
_atom_site_fract_z
Li1 Li 0.0000 0.0000 0.0000
Ir1 Ir 0.0000 0.5000 0.0000
W1 W 0.2500 0.2500 0.5000


# 5
# LiIr2W, optimized geometry, DFT PBE
# calculated volume	14.933	Å³ per atom
# crystal system	trigonal
# formation energy from the elements	-0.102	eV per atom
# Fermi-level density of states	1.331	states/eV/atom
data_LiIr2W
_symmetry_space_group_name_H-M 'R -3 m'
_symmetry_Int_Tables_number 166
_symmetry_space_group_name_Hall '-R 3 2"'
_cell_length_a 2.7987
_cell_length_b 2.7987
_cell_length_c 26.4155
_cell_angle_alpha 90.00
_cell_angle_beta 90.00
_cell_angle_gamma 120.00
loop_
_atom_site_label
_atom_site_type_symbol
_atom_site_fract_x
_atom_site_fract_y
_atom_site_fract_z
Li1 Li 0.0000 0.0000 0.0000
Ir1 Ir 0.0000 0.0000 0.2482
W1 W 0.0000 0.0000 0.5000


# 6
# LiZnIrW, optimized geometry, DFT PBE
# calculated volume	13.951	Å³ per atom
# crystal system	cubic
# formation energy from the elements	-0.169	eV per atom
# Fermi-level density of states	0.093	states/eV/atom
data_LiZnIrW
_symmetry_space_group_name_H-M 'F -4 3 m'
_symmetry_Int_Tables_number 216
_symmetry_space_group_name_Hall 'F -4 2 3'
_cell_length_a 6.0661
_cell_length_b 6.0661
_cell_length_c 6.0661
_cell_angle_alpha 90.00
_cell_angle_beta 90.00
_cell_angle_gamma 90.00
loop_
_atom_site_label
_atom_site_type_symbol
_atom_site_fract_x
_atom_site_fract_y
_atom_site_fract_z
Li1 Li 0.0000 0.0000 0.0000
Zn1 Zn 0.2500 0.2500 0.2500
Ir1 Ir 0.0000 0.0000 0.5000
W1 W 0.2500 0.2500 0.7500


# 7
# Li2YIr, optimized geometry, DFT PBE
# offset from the most stable computed form	590	meV per atom
# calculated volume	18.561	Å³ per atom
# crystal system	orthorhombic
# formation energy from the elements	0.290	eV per atom
# Fermi-level density of states	0.860	states/eV/atom
data_Li2YIr
_symmetry_space_group_name_H-M 'C m m m'
_symmetry_Int_Tables_number 65
_symmetry_space_group_name_Hall '-C 2 2'
_cell_length_a 3.0984
_cell_length_b 4.7849
_cell_length_c 10.0156
_cell_angle_alpha 90.00
_cell_angle_beta 90.00
_cell_angle_gamma 90.00
loop_
_atom_site_label
_atom_site_type_symbol
_atom_site_fract_x
_atom_site_fract_y
_atom_site_fract_z
Li1 Li 0.0000 0.0000 0.2027
Y1 Y 0.0000 0.5000 0.5000
Ir1 Ir 0.0000 0.5000 0.0000


# 8
# Li2YIr, optimized geometry, DFT PBE
# offset from the most stable computed form	159	meV per atom
# calculated volume	19.787	Å³ per atom
# crystal system	tetragonal
# formation energy from the elements	-0.141	eV per atom
# Fermi-level density of states	0.425	states/eV/atom
data_Li2YIr
_symmetry_space_group_name_H-M 'I -4 2 d'
_symmetry_Int_Tables_number 122
_symmetry_space_group_name_Hall 'I -4 2bw'
_cell_length_a 3.9585
_cell_length_b 3.9585
_cell_length_c 20.2039
_cell_angle_alpha 90.00
_cell_angle_beta 90.00
_cell_angle_gamma 90.00
loop_
_atom_site_label
_atom_site_type_symbol
_atom_site_fract_x
_atom_site_fract_y
_atom_site_fract_z
Li1 Li 0.1785 0.7500 0.1250
Y1 Y 0.0000 0.0000 0.5000
Ir1 Ir 0.0000 0.0000 0.0000


# 9
# LiY4Ir, optimized geometry, DFT PBE
# offset from the most stable computed form	745	meV per atom
# calculated volume	26.948	Å³ per atom
# crystal system	cubic
# formation energy from the elements	0.677	eV per atom
# Fermi-level density of states	1.722	states/eV/atom
data_LiY4Ir
_symmetry_space_group_name_H-M 'F -4 3 m'
_symmetry_Int_Tables_number 216
_symmetry_space_group_name_Hall 'F -4 2 3'
_cell_length_a 8.6479
_cell_length_b 8.6479
_cell_length_c 8.6479
_cell_angle_alpha 90.00
_cell_angle_beta 90.00
_cell_angle_gamma 90.00
loop_
_atom_site_label
_atom_site_type_symbol
_atom_site_fract_x
_atom_site_fract_y
_atom_site_fract_z
Li1 Li 0.0000 0.0000 0.0000
Y1 Y 0.1230 0.1230 0.6230
Ir1 Ir 0.2500 0.2500 0.2500


# 10
# LiY3Ir2, optimized geometry, DFT PBE
# calculated volume	20.929	Å³ per atom
# crystal system	trigonal
# formation energy from the elements	-0.656	eV per atom
# Fermi-level density of states	0.521	states/eV/atom
data_LiY3Ir2
_symmetry_space_group_name_H-M 'P -3 m 1'
_symmetry_Int_Tables_number 164
_symmetry_space_group_name_Hall '-P 3 2"'
_cell_length_a 4.8895
_cell_length_b 4.8895
_cell_length_c 12.1305
_cell_angle_alpha 90.00
_cell_angle_beta 90.00
_cell_angle_gamma 120.00
loop_
_atom_site_label
_atom_site_type_symbol
_atom_site_fract_x
_atom_site_fract_y
_atom_site_fract_z
Li1 Li 0.3333 0.6667 0.1701
Y1 Y 0.0000 0.0000 0.2569
Y2 Y 0.3333 0.6667 0.4225
Y3 Y 0.3333 0.6667 0.9166
Ir1 Ir 0.0000 0.0000 0.0000
Ir2 Ir 0.0000 0.0000 0.5000
Ir3 Ir 0.3333 0.6667 0.6726


# 11
# Li2YIr, optimized geometry, DFT PBE
# offset from the most stable computed form	6	meV per atom
# calculated volume	18.357	Å³ per atom
# crystal system	trigonal
# formation energy from the elements	-0.294	eV per atom
# Fermi-level density of states	0.233	states/eV/atom
data_Li2YIr
_symmetry_space_group_name_H-M 'R 3 m'
_symmetry_Int_Tables_number 160
_symmetry_space_group_name_Hall 'R 3 -2"'
_cell_length_a 4.4168
_cell_length_b 4.4168
_cell_length_c 13.0353
_cell_angle_alpha 90.00
_cell_angle_beta 90.00
_cell_angle_gamma 120.00
loop_
_atom_site_label
_atom_site_type_symbol
_atom_site_fract_x
_atom_site_fract_y
_atom_site_fract_z
Li1 Li 0.0000 0.0000 0.0000
Li2 Li 0.0000 0.0000 0.2754
Y1 Y 0.0000 0.0000 0.4870
Ir1 Ir 0.0000 0.0000 0.7126


# 12
# Li2YIr, optimized geometry, DFT PBE
# offset from the most stable computed form	122	meV per atom
# calculated volume	16.342	Å³ per atom
# crystal system	cubic
# formation energy from the elements	-0.178	eV per atom
# Fermi-level density of states	0.668	states/eV/atom
data_Li2YIr
_symmetry_space_group_name_H-M 'F m -3 m'
_symmetry_Int_Tables_number 225
_symmetry_space_group_name_Hall '-F 4 2 3'
_cell_length_a 6.3945
_cell_length_b 6.3945
_cell_length_c 6.3945
_cell_angle_alpha 90.00
_cell_angle_beta 90.00
_cell_angle_gamma 90.00
loop_
_atom_site_label
_atom_site_type_symbol
_atom_site_fract_x
_atom_site_fract_y
_atom_site_fract_z
Li1 Li 0.2500 0.2500 0.2500
Y1 Y 0.0000 0.0000 0.0000
Ir1 Ir 0.0000 0.0000 0.5000